1.
Below is PrNd2ReN4 after structural relaxation, with properties calculated at the PBE-GGA level.

```
PrNd2ReN4
1.0
3.551 0.000 0.000
-1.776 6.054 0.000
0.000 0.000 12.101
N Nd Pr Re
8 4 2 2
Direct
0.268 0.536 0.136
0.268 0.536 0.364
0.427 0.853 0.750
0.732 0.464 0.636
0.732 0.464 0.864
0.000 0.000 0.000
0.573 0.147 0.250
0.000 0.000 0.500
0.632 0.264 0.460
0.632 0.264 0.040
0.368 0.736 0.540
0.368 0.736 0.960
0.118 0.235 0.750
0.882 0.765 0.250
0.150 0.299 0.250
0.850 0.701 0.750
```

* magnetization: 0.0 μB per formula unit
* theoretical density: 8.57 g cm⁻³


2.
Below is PrNdReN4 after structural relaxation, with properties calculated at the PBE-GGA level.

```
PrNdReN4
1.0
-0.943 0.218 -3.794
3.660 -0.998 -0.968
-3.007 -5.717 2.439
N Nd Re Pr
4 1 1 1
Direct
0.500 0.000 0.999
0.000 0.500 0.999
0.835 0.835 0.670
0.166 0.166 0.332
0.354 0.354 0.708
0.000 0.000 0.999
0.646 0.646 0.292
```

* magnetization: 0.0 μB per formula unit
* theoretical density: 9.03 g cm⁻³


Calculated density of states at the Fermi level (states/eV/atom), listed in the same order as above: 0.223 0.279
Calculated energy relative to the elements, uncorrected (eV per atom), listed in the same order as above: -0.861 -0.868